No. 1
This record from Alexandria via LeMat-Bulk describes a PBEsol-optimized structure of AgSn2SeBr. The functional is SCAN.

DOS(E_F) ... 3.30 states/eV/cell
Formation energy without anion corrections ... 0.31 eV per atom
Total magnetization ... 0.00 μB per cell

Lattice parameters (Å, degrees): 4.7905 5.6540 5.6540 90.00 90.00 90.00
With the nearest neighbours (Å) after each atom.
Atoms (fractional coordinates):
Ag  0.5000  0.0000  0.0000  2 Se 2.40
Se  0.0000  0.0000  0.0000  2 Ag 2.40
Sn  0.0000  0.0000  0.5000  2 Se 2.83
Sn  0.0000  0.5000  0.0000  2 Se 2.83
Br  0.5000  0.5000  0.5000  8 Sn 3.71, 4 Ag 4.00

No. 2
This record from Alexandria via LeMat-Bulk describes a PBEsol-optimized structure of SrAgSeBr2. The functional is SCAN.

DOS(E_F) ... 0.91 states/eV/cell
Formation energy without anion corrections ... -1.01 eV per atom
Total magnetization ... 0.00 μB per cell

Lattice parameters (Å, degrees): 5.1613 5.1613 5.2048 90.00 90.00 90.00
With the nearest neighbours (Å) after each atom.
Atoms (fractional coordinates):
Ag  0.0000  0.0000  0.0000  4 Br 2.58, 2 Se 2.60
Sr  0.5000  0.5000  0.5000  4 Se 3.65, 8 Br 3.66
Se  0.0000  0.0000  0.5000  2 Ag 2.60
Br  0.5000  0.0000  0.0000  2 Ag 2.58
Br  0.0000  0.5000  0.0000  2 Ag 2.58

No. 3
This record from Alexandria via LeMat-Bulk describes a PBEsol-optimized structure of TcAgSe2Br. The functional is SCAN.

DOS(E_F) ... 1.85 states/eV/cell
Formation energy without anion corrections ... 0.89 eV per atom
Total magnetization ... 4.82 μB per cell

Lattice parameters (Å, degrees): 4.9945 4.9945 5.0199 90.00 90.00 90.00
With the nearest neighbours (Å) after each atom.
Atoms (fractional coordinates):
Br  0.0000  0.0000  0.5000  2 Ag 2.51
Ag  0.0000  0.0000  0.0000  4 Se 2.50, 2 Br 2.51
Tc  0.5000  0.5000  0.5000  4 Br 3.53, 8 Se 3.54
Se  0.5000  0.0000  0.0000  2 Ag 2.50
Se  0.0000  0.5000  0.0000  2 Ag 2.50

No. 4
This record from Alexandria via LeMat-Bulk describes a PBEsol-optimized structure of AgWSeBr2. The functional is SCAN.

DOS(E_F) ... 3.01 states/eV/cell
Formation energy without anion corrections ... 0.44 eV per atom
Total magnetization ... 2.05 μB per cell

Lattice parameters (Å, degrees): 4.7888 5.0926 5.0926 90.00 90.00 90.00
With the nearest neighbours (Å) after each atom.
Atoms (fractional coordinates):
Br  0.0000  0.0000  0.5000  2 W 2.55
Br  0.0000  0.5000  0.0000  2 W 2.55
Ag  0.5000  0.5000  0.5000  8 Br 3.50, 4 Se 3.60
W  0.0000  0.0000  0.0000  2 Se 2.39, 4 Br 2.55
Se  0.5000  0.0000  0.0000  2 W 2.39

No. 5
This record from Alexandria via LeMat-Bulk describes a PBEsol-optimized structure of YAgSeBr2. The functional is SCAN.

Formation energy without anion corrections ... -0.99 eV per atom
Total magnetization ... 0.00 μB per cell

Lattice parameters (Å, degrees): 5.4028 5.4028 5.4827 90.00 90.00 90.00
With the nearest neighbours (Å) after each atom.
Atoms (fractional coordinates):
Br  0.0000  0.5000  0.0000  2 Y 2.70
Br  0.5000  0.0000  0.0000  2 Y 2.70
Se  0.0000  0.0000  0.5000  2 Y 2.74
Y  0.0000  0.0000  0.0000  4 Br 2.70, 2 Se 2.74
Ag  0.5000  0.5000  0.5000  4 Se 3.82, 8 Br 3.85

No. 6
This record from Alexandria via LeMat-Bulk describes a PBEsol-optimized structure of Si2AgBr. The functional is SCAN.

DOS(E_F) ... 1.74 states/eV/cell
Formation energy without anion corrections ... 0.51 eV per atom
Excess energy over the best structure of this formula in the dataset ... 110 meV per atom
Total magnetization ... 0.00 μB per cell

Lattice parameters (Å, degrees): 3.7679 3.7349 6.0475 105.06 108.15 90.00
With the nearest neighbours (Å) after each atom.
Atoms (fractional coordinates):
Si  0.7626  0.7886  0.5251  4 Si 2.52-2.82, 1 Ag 2.63
Si  0.2374  0.2114  0.4749  4 Si 2.52-2.82, 1 Ag 2.63
Br  0.5000  0.5000  0.0000  4 Ag 2.65, 2 Si 2.91
Ag  0.0000  0.0000  0.0000  2 Si 2.63, 4 Br 2.65